Record 1
Here is crystalline CsDyCoTe3 at its relaxed geometry from the Open Quantum Materials Database. Energies are from PBE.

Structure (POSCAR):
```
CsDyCoTe3
1.0
8.676 -2.148 0.000
8.676 2.148 0.000
0.000 0.000 11.493
Te Cs Co Dy
6 2 2 2
direct
0.943 0.943 0.750
0.618 0.618 0.934
0.382 0.382 0.066
0.382 0.382 0.434
0.618 0.618 0.566
0.057 0.057 0.250
0.742 0.742 0.250
0.258 0.258 0.750
0.467 0.467 0.250
0.533 0.533 0.750
0.000 0.000 0.500
0.000 0.000 0.000
```

M_tot: 2.7 μB per formula unit
polymorph energy (0 for the lowest one): 0.015 eV/atom

Record 2
Here is crystalline Pr2PdPt at its relaxed geometry from the Open Quantum Materials Database. Energies are from PBE.

Structure (POSCAR):
```
Pr2PdPt
1.0
-1.179 -0.569 5.667
-3.089 -3.295 -0.973
5.838 -4.878 -2.011
Pt Pr Pd
2 4 2
direct
0.829 0.750 0.707
0.171 0.250 0.293
0.724 0.250 0.434
0.276 0.750 0.566
0.729 0.250 0.929
0.271 0.750 0.071
0.175 0.250 0.793
0.825 0.750 0.207
```

energy relative to the elements: -0.965 eV/atom
M_tot: 0.0 μB per formula unit

Record 3
Here is crystalline K2Zr3OF12 at its relaxed geometry from the Open Quantum Materials Database. Energies are from PBE.

Structure (POSCAR):
```
K2Zr3OF12
1.0
-2.368 7.257 -0.237
1.520 -3.734 -6.486
-10.125 0.769 1.681
F O Zr K
24 2 6 4
direct
0.654 0.654 0.000
0.638 0.701 0.764
0.701 0.638 0.236
0.654 0.000 0.000
0.340 0.660 0.408
0.081 0.919 0.239
0.346 0.346 0.000
0.660 0.340 0.592
0.000 0.346 0.000
0.400 0.081 0.761
0.600 0.919 0.239
0.919 0.600 0.761
0.346 0.000 0.000
0.362 0.299 0.236
0.660 0.912 0.592
0.919 0.081 0.761
0.701 0.299 0.236
0.000 0.654 0.000
0.299 0.362 0.764
0.088 0.340 0.592
0.081 0.400 0.239
0.299 0.701 0.764
0.912 0.660 0.408
0.340 0.088 0.408
0.713 0.287 0.861
0.287 0.713 0.139
0.579 0.965 0.806
0.965 0.579 0.194
0.421 0.035 0.194
0.035 0.421 0.806
0.421 0.579 0.194
0.579 0.421 0.806
0.135 0.865 0.594
0.000 0.000 0.000
0.865 0.135 0.406
0.500 0.500 0.500
```

M_tot: 0.0 μB per formula unit
total energy: -0.2421 hartree per atom

Record 4
Here is crystalline UPb3 at its relaxed geometry from the Open Quantum Materials Database. Energies are from PBE.

Structure (POSCAR):
```
UPb3
1.0
-1.876 -0.437 -4.433
-3.751 -2.439 1.828
-2.402 4.150 0.607
Pb U
3 1
direct
0.000 0.500 0.500
0.500 0.000 0.500
0.500 0.500 0.000
0.000 0.000 0.000
```

M_tot: 2.7 μB per formula unit
total energy: -0.2004 hartree per atom

Record 5
Here is crystalline FeReBiPt at its relaxed geometry from the Open Quantum Materials Database. Energies are from PBE.

Structure (POSCAR):
```
FeReBiPt
1.0
4.336 0.206 1.412
1.269 -2.186 3.801
2.668 -3.694 -0.274
Pt Re Bi Fe
1 1 1 1
direct
0.500 0.500 0.500
0.250 0.250 0.250
0.000 0.000 0.000
0.750 0.750 0.750
```

M_tot: 2.8 μB per formula unit
polymorph energy (0 for the lowest one): 0.000 eV/atom

Record 6
Here is crystalline Ba2LiIrSe6 at its relaxed geometry from the Open Quantum Materials Database. Energies are from PBE.

Structure (POSCAR):
```
Ba2LiIrSe6
1.0
-3.566 3.566 5.051
3.566 -3.566 5.051
3.566 3.566 -5.051
Ir Se Ba Li
1 6 2 1
direct
0.000 0.000 0.000
0.753 0.753 0.000
0.758 0.748 0.505
0.748 0.242 0.990
0.247 0.247 0.000
0.242 0.252 0.495
0.252 0.758 0.010
0.250 0.750 0.500
0.750 0.250 0.500
0.500 0.500 0.000
```

M_tot: 2.4 μB per formula unit
total energy: -0.1624 hartree per atom

Record 7
Here is crystalline YTc2B at its relaxed geometry from the Open Quantum Materials Database. Energies are from PBE.

Structure (POSCAR):
```
YTc2B
1.0
-3.225 -1.115 2.802
-4.075 -0.767 -1.516
-1.614 -4.110 -0.013
Y Tc B
1 2 1
direct
0.250 0.250 0.250
0.000 0.000 0.000
0.750 0.750 0.750
0.500 0.500 0.500
```

M_tot: 0.0 μB per formula unit
total energy: -0.2928 hartree per atom

Record 8
Here is crystalline NaPrNiS3 at its relaxed geometry from the Open Quantum Materials Database. Energies are from PBE.

Structure (POSCAR):
```
NaPrNiS3
1.0
4.025 0.000 0.000
0.000 11.015 0.000
0.000 0.000 11.447
Pr S Ni Na
4 12 4 4
direct
0.250 0.485 0.177
0.750 0.015 0.677
0.750 0.515 0.823
0.250 0.985 0.323
0.250 0.377 0.943
0.250 0.723 0.297
0.250 0.223 0.203
0.250 0.556 0.651
0.750 0.623 0.057
0.250 0.056 0.849
0.750 0.777 0.797
0.750 0.944 0.151
0.750 0.277 0.703
0.250 0.877 0.557
0.750 0.444 0.349
0.750 0.123 0.443
0.250 0.751 0.713
0.250 0.251 0.787
0.750 0.249 0.287
0.750 0.749 0.213
0.250 0.833 0.996
0.750 0.167 0.004
0.250 0.333 0.504
0.750 0.667 0.496
```

M_tot: 1.6 μB per formula unit
total energy: -0.1914 hartree per atom

Record 9
Here is crystalline HoZrAg at its relaxed geometry from the Open Quantum Materials Database. Energies are from PBE.

Structure (POSCAR):
```
HoZrAg
1.0
-0.615 -1.725 4.413
-3.087 -3.566 0.763
1.612 -4.359 1.107
Zr Ho Ag
1 1 1
direct
0.000 0.000 0.000
0.250 0.250 0.250
0.500 0.500 0.500
```

energy relative to the elements: 0.891 eV/atom
M_tot: 0.3 μB per formula unit

Record 10
Here is crystalline HoInGe at its relaxed geometry from the Open Quantum Materials Database. Energies are from PBE.

Structure (POSCAR):
```
HoInGe
1.0
0.000 3.369 3.369
3.369 0.000 3.369
3.369 3.369 0.000
Ho Ge In
1 1 1
direct
0.250 0.250 0.250
0.000 0.000 0.000
0.750 0.750 0.750
```

M_tot: 0.0 μB per formula unit
total energy: -0.1544 hartree per atom

Record 11
Here is crystalline GdDy2Mg3AlGa2 at its relaxed geometry from the Open Quantum Materials Database. Energies are from PBE.

Structure (POSCAR):
```
GdDy2Mg3AlGa2
1.0
4.509 0.000 0.000
0.000 6.326 3.639
0.000 -6.326 3.639
Mg Al Gd Ga Dy
3 1 1 2 2
direct
0.500 0.000 0.244
0.500 0.244 0.000
0.500 0.756 0.756
0.000 0.998 0.998
0.000 0.435 0.435
0.500 0.333 0.668
0.500 0.668 0.333
0.000 0.566 0.000
0.000 0.000 0.566
```

M_tot: 0.0 μB per formula unit
total energy: -0.1317 hartree per atom

Record 12
Here is crystalline LiLuAu at its relaxed geometry from the Open Quantum Materials Database. Energies are from PBE.

Structure (POSCAR):
```
LiLuAu
1.0
-3.923 -2.473 0.182
-1.296 -2.005 3.980
-3.665 1.631 2.334
Lu Li Au
1 1 1
direct
0.750 0.750 0.750
0.250 0.250 0.250
0.000 0.000 0.000
```

M_tot: 0.0 μB per formula unit
polymorph energy (0 for the lowest one): 0.000 eV/atom

Record 13
Here is crystalline Cs2ReSe2S at its relaxed geometry from the Open Quantum Materials Database. Energies are from PBE.

Structure (POSCAR):
```
Cs2ReSe2S
1.0
-1.903 1.498 7.849
-7.487 1.415 3.068
3.100 -9.476 -3.458
Cs Se S Re
4 4 2 2
direct
0.918 0.918 0.144
0.703 0.703 0.311
0.082 0.082 0.856
0.297 0.297 0.689
0.214 0.214 0.284
0.603 0.603 0.879
0.786 0.786 0.716
0.397 0.397 0.121
0.748 0.252 0.500
0.252 0.748 0.500
0.400 0.400 0.349
0.600 0.600 0.651
```

M_tot: 0.8 μB per formula unit
total energy: -0.1809 hartree per atom

Record 14
Here is crystalline TbGdNi2Sn at its relaxed geometry from the Open Quantum Materials Database. Energies are from PBE.

Structure (POSCAR):
```
TbGdNi2Sn
1.0
3.674 0.000 0.000
0.000 2.009 6.980
0.000 -2.009 6.980
Ni Gd Sn Tb
2 1 1 1
direct
0.500 0.802 0.802
0.500 0.198 0.198
0.000 0.636 0.636
0.500 0.000 0.000
0.000 0.364 0.364
```

M_tot: 0.0 μB per formula unit
total energy: -0.2017 hartree per atom

Record 15
Here is crystalline PrTmSb at its relaxed geometry from the Open Quantum Materials Database. Energies are from PBE.

Structure (POSCAR):
```
PrTmSb
1.0
0.000 3.639 3.639
3.639 0.000 3.639
3.639 3.639 0.000
Pr Tm Sb
1 1 1
direct
0.500 0.500 0.500
0.000 0.000 0.000
0.250 0.250 0.250
```

M_tot: 0.0 μB per formula unit
total energy: -0.1832 hartree per atom

Record 16
Here is crystalline ThZrPa at its relaxed geometry from the Open Quantum Materials Database. Energies are from PBE.

Structure (POSCAR):
```
ThZrPa
1.0
0.000 3.580 3.580
3.580 0.000 3.580
3.580 3.580 0.000
Pa Th Zr
1 1 1
direct
0.250 0.250 0.250
0.750 0.750 0.750
0.000 0.000 0.000
```

energy relative to the elements: 0.761 eV/atom
M_tot: 0.2 μB per formula unit
polymorph energy (0 for the lowest one): 0.000 eV/atom

Record 17
Here is crystalline LiScCuAs at its relaxed geometry from the Open Quantum Materials Database. Energies are from PBE.

Structure (POSCAR):
```
LiScCuAs
1.0
0.000 3.139 3.139
3.139 0.000 3.139
3.139 3.139 0.000
As Sc Cu Li
1 1 1 1
direct
0.000 0.000 0.000
0.750 0.750 0.750
0.250 0.250 0.250
0.500 0.500 0.500
```

M_tot: 0.0 μB per formula unit
polymorph energy (0 for the lowest one): 0.268 eV/atom

Record 18
Here is crystalline ErLuAg2O4 at its relaxed geometry from the Open Quantum Materials Database. Energies are from PBE.

Structure (POSCAR):
```
ErLuAg2O4
1.0
-1.009 0.806 -3.149
2.271 -2.490 0.474
-9.292 -8.312 0.852
O Ag Lu Er
4 2 1 1
direct
0.333 0.667 0.082
0.667 0.333 0.918
0.333 0.667 0.414
0.667 0.333 0.586
0.667 0.333 0.752
0.333 0.667 0.248
0.000 0.000 0.000
0.000 0.000 0.500
```

M_tot: 0.0 μB per formula unit
total energy: -0.2445 hartree per atom

Record 19
Here is crystalline PrSmI2O2 at its relaxed geometry from the Open Quantum Materials Database. Energies are from PBE.

Structure (POSCAR):
```
PrSmI2O2
1.0
-3.792 1.166 0.864
-1.309 -1.701 -3.447
-1.435 -7.990 4.489
O I Sm Pr
2 2 1 1
direct
0.000 0.500 0.997
0.500 0.000 0.997
0.500 0.500 0.671
0.000 0.000 0.332
0.000 0.000 0.876
0.500 0.500 0.127
```

M_tot: 0.0 μB per formula unit
total energy: -0.2359 hartree per atom

Record 20
Here is crystalline ZrAgNO at its relaxed geometry from the Open Quantum Materials Database. Energies are from PBE.

Structure (POSCAR):
```
ZrAgNO
1.0
5.189 0.000 0.000
0.000 5.881 0.000
0.000 0.000 7.337
Ag O N Zr
4 4 4 4
direct
0.713 0.519 0.899
0.287 0.019 0.101
0.787 0.019 0.899
0.213 0.519 0.101
0.000 0.876 0.564
0.500 0.876 0.436
0.000 0.376 0.436
0.500 0.376 0.564
0.918 0.820 0.178
0.082 0.320 0.822
0.582 0.320 0.178
0.418 0.820 0.822
0.707 0.582 0.339
0.207 0.582 0.661
0.793 0.082 0.339
0.293 0.082 0.661
```

M_tot: 0.0 μB per formula unit
polymorph energy (0 for the lowest one): 0.160 eV/atom

Record 21
Here is crystalline RbAgBiAu at its relaxed geometry from the Open Quantum Materials Database. Energies are from PBE.

Structure (POSCAR):
```
RbAgBiAu
1.0
-0.196 -5.269 -0.666
-1.709 -3.116 3.951
-4.696 -2.456 -0.394
Rb Au Bi Ag
1 1 1 1
direct
0.250 0.250 0.250
0.750 0.750 0.750
0.000 0.000 0.000
0.500 0.500 0.500
```

polymorph energy (0 for the lowest one): 0.121 eV/atom

Record 22
Here is crystalline BaHo2 at its relaxed geometry from the Open Quantum Materials Database. Energies are from PBE.

Structure (POSCAR):
```
BaHo2
1.0
-10.013 4.689 -1.641
-2.256 10.036 4.374
-0.970 8.915 -6.673
Ba Ho
2 4
direct
0.125 0.125 0.125
0.875 0.875 0.875
0.000 0.500 0.000
0.000 0.000 0.000
0.500 0.000 0.000
0.000 0.000 0.500
```

M_tot: 4.0 μB per formula unit
polymorph energy (0 for the lowest one): 2.153 eV/atom

Record 23
Here is crystalline NbFeAu at its relaxed geometry from the Open Quantum Materials Database. Energies are from PBE.

Structure (POSCAR):
```
NbFeAu
1.0
-4.019 -0.631 1.306
-3.258 1.559 -2.282
-2.557 -2.654 -2.162
Nb Au Fe
1 1 1
direct
0.000 0.000 0.000
0.250 0.250 0.250
0.750 0.750 0.750
```

energy relative to the elements: 0.691 eV/atom
M_tot: 0.8 μB per formula unit
polymorph energy (0 for the lowest one): 0.327 eV/atom

Record 24
Here is crystalline TmScCdC at its relaxed geometry from the Open Quantum Materials Database. Energies are from PBE.

Structure (POSCAR):
```
TmScCdC
1.0
3.414 0.000 0.000
-1.707 2.957 0.000
0.000 0.000 15.964
Sc Cd Tm C
2 2 2 2
direct
0.333 0.667 0.832
0.333 0.667 0.168
0.333 0.667 0.500
0.667 0.333 0.000
0.667 0.333 0.672
0.667 0.333 0.328
0.000 0.000 0.243
0.000 0.000 0.757
```

M_tot: 0.2 μB per formula unit
total energy: -0.2060 hartree per atom